(1)
HfV3Te after structural relaxation, computed with PBE-GGA.

a b c (Å): 4.7543 4.7543 4.7543
angles (deg): 90.00 90.00 90.00
With the nearest neighbours (Å) after each atom.
Fractional coordinates of all 5 atoms:
Hf: 0.0000 0.0000 0.0000  12 V 3.36
V: 0.0000 0.5000 0.5000  2 Te 2.38
V: 0.5000 0.0000 0.5000  2 Te 2.38
V: 0.5000 0.5000 0.0000  2 Te 2.38
Te: 0.5000 0.5000 0.5000  6 V 2.38

Properties
SG = No. 221
Calculated total energy = -6.944 eV per atom
Formation energy from raw total energies = 5.7 eV per formula unit
Volume = 21.5 A^3/atom

=====

(2)
HfV2Te after structural relaxation, computed with PBE-GGA.

a b c (Å): 4.0107 4.0107 19.1488
angles (deg): 90.00 90.00 90.00
With the nearest neighbours (Å) after each atom.
Fractional coordinates of all 16 atoms:
Hf: 0.0000 0.0000 0.0000  4 V 2.82, 4 Te 2.84
Hf: 0.0000 0.5000 0.2500  4 V 2.82, 4 Te 2.84
Hf: 0.5000 0.0000 0.7500  4 V 2.82, 4 Te 2.84
Hf: 0.5000 0.5000 0.5000  4 V 2.82, 4 Te 2.84
V: 0.2248 0.2500 0.6250  4 V 2.70-2.98, 2 Te 2.75, 2 Hf 2.82
V: 0.2500 0.7248 0.8750  4 V 2.70-2.98, 2 Te 2.75, 2 Hf 2.82
V: 0.2500 0.7752 0.3750  4 V 2.70-2.98, 2 Te 2.75, 2 Hf 2.82
V: 0.2752 0.2500 0.1250  4 V 2.70-2.98, 2 Te 2.75, 2 Hf 2.82
V: 0.7248 0.7500 0.1250  4 V 2.70-2.98, 2 Te 2.75, 2 Hf 2.82
V: 0.7500 0.2248 0.3750  4 V 2.70-2.98, 2 Te 2.75, 2 Hf 2.82
V: 0.7500 0.2752 0.8750  4 V 2.70-2.98, 2 Te 2.75, 2 Hf 2.82
V: 0.7752 0.7500 0.6250  4 V 2.70-2.98, 2 Te 2.75, 2 Hf 2.82
Te: 0.0000 0.0000 0.5000  4 V 2.75, 4 Hf 2.84
Te: 0.0000 0.5000 0.7500  4 V 2.75, 4 Hf 2.84
Te: 0.5000 0.0000 0.2500  4 V 2.75, 4 Hf 2.84
Te: 0.5000 0.5000 0.0000  4 V 2.75, 4 Hf 2.84

Properties
SG = No. 122
Calculated total energy = -7.430 eV per atom
Formation energy from raw total energies = 1.6 eV per formula unit
Volume = 19.3 A^3/atom

=====

(3)
Hf2VTe after structural relaxation, computed with PBE-GGA.

a b c (Å): 3.1300 3.1300 30.4917
angles (deg): 90.00 90.00 120.00
With the nearest neighbours (Å) after each atom.
Fractional coordinates of all 12 atoms:
Hf: 0.0000 0.0000 0.0859  1 V 2.62
Hf: 0.0000 0.0000 0.9141  1 V 2.62
Hf: 0.3333 0.6667 0.5807  1 V 2.62
Hf: 0.3333 0.6667 0.7526  1 V 2.62
Hf: 0.6667 0.3333 0.2474  1 V 2.62
Hf: 0.6667 0.3333 0.4193  1 V 2.62
V: 0.0000 0.0000 0.0000  2 Hf 2.62
V: 0.3333 0.6667 0.6667  2 Hf 2.62
V: 0.6667 0.3333 0.3333  2 Hf 2.62
Te: 0.0000 0.0000 0.5000  6 Hf 3.05, 6 Te 3.13
Te: 0.3333 0.6667 0.1667  6 Hf 3.05, 6 Te 3.13
Te: 0.6667 0.3333 0.8333  6 Hf 3.05, 6 Te 3.13

Properties
SG = No. 166
Calculated total energy = -7.504 eV per atom
Formation energy from raw total energies = 2.1 eV per formula unit
Volume = 21.6 A^3/atom

=====

(4)
HfV2Te4 after structural relaxation, computed with PBE-GGA.

a b c (Å): 14.8963 3.7010 6.8457
angles (deg): 90.00 117.16 90.00
With the nearest neighbours (Å) after each atom.
Fractional coordinates of all 14 atoms:
Hf: 0.0000 0.0000 0.0000  6 Te 2.86-2.90
Hf: 0.5000 0.5000 0.0000  6 Te 2.86-2.90
V: 0.2490 0.0000 0.3304  5 Te 2.63-2.87
V: 0.2510 0.5000 0.6696  5 Te 2.63-2.87
V: 0.7490 0.5000 0.3304  5 Te 2.63-2.87
V: 0.7510 0.0000 0.6696  5 Te 2.63-2.87
Te: 0.1107 0.0000 0.4693  3 V 2.63-2.66, 1 Hf 2.86
Te: 0.1446 0.5000 0.9775  3 V 2.87-3.16, 2 Hf 2.90
Te: 0.3554 0.0000 0.0225  3 V 2.87-3.16, 2 Hf 2.90
Te: 0.3893 0.5000 0.5307  3 V 2.63-2.66, 1 Hf 2.86
Te: 0.6107 0.5000 0.4693  3 V 2.63-2.66, 1 Hf 2.86
Te: 0.6446 0.0000 0.9775  3 V 2.87-3.16, 2 Hf 2.90
Te: 0.8554 0.5000 0.0225  3 V 2.87-3.16, 2 Hf 2.90
Te: 0.8893 0.0000 0.5307  3 V 2.63-2.66, 1 Hf 2.86

Properties
SG = No. 12
Calculated total energy = -6.218 eV per atom
Formation energy from raw total energies = -2.8 eV per formula unit
Volume = 24.0 A^3/atom

=====

(5)
HfV2Te2 after structural relaxation, computed with PBE-GGA.

a b c (Å): 4.9987 4.9987 8.1204
angles (deg): 90.00 90.00 90.00
With the nearest neighbours (Å) after each atom.
Fractional coordinates of all 10 atoms:
Hf: 0.0000 0.0000 0.0000  2 V 3.06, 8 Te 3.22
Hf: 0.5000 0.5000 0.5000  2 V 3.06, 8 Te 3.22
V: 0.0000 0.0000 0.3771  1 V 2.00
V: 0.0000 0.0000 0.6229  1 V 2.00
V: 0.5000 0.5000 0.1229  1 V 2.00
V: 0.5000 0.5000 0.8771  1 V 2.00
Te: 0.0000 0.5000 0.2500  4 V 2.70
Te: 0.0000 0.5000 0.7500  4 V 2.70
Te: 0.5000 0.0000 0.2500  4 V 2.70
Te: 0.5000 0.0000 0.7500  4 V 2.70

Properties
SG = No. 139
Calculated total energy = -6.780 eV per atom
Formation energy from raw total energies = 0.6 eV per formula unit
Volume = 20.3 A^3/atom

=====

(6)
Hf2VTe after structural relaxation, computed with PBE-GGA.

a b c (Å): 3.4266 3.4266 25.3163
angles (deg): 90.00 90.00 120.00
With the nearest neighbours (Å) after each atom.
Fractional coordinates of all 12 atoms:
Hf: 0.0000 0.0000 0.2464  3 V 2.83, 3 Te 2.96
Hf: 0.0000 0.0000 0.7536  3 V 2.83, 3 Te 2.96
Hf: 0.3333 0.6667 0.4203  3 V 2.83, 3 Te 2.96
Hf: 0.3333 0.6667 0.9131  3 V 2.83, 3 Te 2.96
Hf: 0.6667 0.3333 0.0869  3 V 2.83, 3 Te 2.96
Hf: 0.6667 0.3333 0.5797  3 V 2.83, 3 Te 2.96
V: 0.0000 0.0000 0.5000  6 Hf 2.83
V: 0.3333 0.6667 0.1667  6 Hf 2.83
V: 0.6667 0.3333 0.8333  6 Hf 2.83
Te: 0.0000 0.0000 0.0000  6 Hf 2.96
Te: 0.3333 0.6667 0.6667  6 Hf 2.96
Te: 0.6667 0.3333 0.3333  6 Hf 2.96

Properties
SG = No. 166
Calculated total energy = -8.004 eV per atom
Formation energy from raw total energies = 0.2 eV per formula unit
Volume = 21.5 A^3/atom

=====

(7)
HfTeW2 after structural relaxation, computed with PBE-GGA.

a b c (Å): 3.9363 3.9363 20.9191
angles (deg): 90.00 90.00 90.00
With the nearest neighbours (Å) after each atom.
Fractional coordinates of all 16 atoms:
Hf: 0.0000 0.0000 0.0000  4 Te 2.78, 4 W 2.95
Hf: 0.0000 0.5000 0.2500  4 Te 2.78, 4 W 2.95
Hf: 0.5000 0.0000 0.7500  4 Te 2.78, 4 W 2.95
Hf: 0.5000 0.5000 0.5000  4 Te 2.78, 4 W 2.95
Te: 0.0000 0.0000 0.5000  4 Hf 2.78, 4 W 2.97
Te: 0.0000 0.5000 0.7500  4 Hf 2.78, 4 W 2.97
Te: 0.5000 0.0000 0.2500  4 Hf 2.78, 4 W 2.97
Te: 0.5000 0.5000 0.0000  4 Hf 2.78, 4 W 2.97
W: 0.2420 0.2500 0.1250  4 W 2.74-2.83, 2 Hf 2.95, 2 Te 2.97
W: 0.2500 0.7420 0.3750  4 W 2.74-2.83, 2 Hf 2.95, 2 Te 2.97
W: 0.2500 0.7580 0.8750  4 W 2.74-2.83, 2 Hf 2.95, 2 Te 2.97
W: 0.2580 0.2500 0.6250  4 W 2.74-2.83, 2 Hf 2.95, 2 Te 2.97
W: 0.7420 0.7500 0.6250  4 W 2.74-2.83, 2 Hf 2.95, 2 Te 2.97
W: 0.7500 0.2420 0.8750  4 W 2.74-2.83, 2 Hf 2.95, 2 Te 2.97
W: 0.7500 0.2580 0.3750  4 W 2.74-2.83, 2 Hf 2.95, 2 Te 2.97
W: 0.7580 0.7500 0.1250  4 W 2.74-2.83, 2 Hf 2.95, 2 Te 2.97

Properties
SG = No. 122
Calculated total energy = -9.010 eV per atom
Formation energy from raw total energies = 3.0 eV per formula unit
Volume = 20.3 A^3/atom

=====

(8)
Hf3TeW after structural relaxation, computed with PBE-GGA.

a b c (Å): 5.0940 5.0940 5.0940
angles (deg): 90.00 90.00 90.00
With the nearest neighbours (Å) after each atom.
Fractional coordinates of all 5 atoms:
Hf: 0.0000 0.0000 0.5000  2 W 2.55
Hf: 0.0000 0.5000 0.0000  2 W 2.55
Hf: 0.5000 0.0000 0.0000  2 W 2.55
Te: 0.5000 0.5000 0.5000  12 Hf 3.60
W: 0.0000 0.0000 0.0000  6 Hf 2.55

Properties
SG = No. 221
Calculated total energy = -8.443 eV per atom
Formation energy from raw total energies = 3.7 eV per formula unit
Volume = 26.4 A^3/atom

=====

Which value of formation energy from raw total energies does entry 4 give?
-2.8 eV per formula unit